This record from Alexandria via LeMat-Bulk describes an optimized crystal structure of Al2CrC. The functional is PBE. Values from VASP.

Summary:
DFT formation energy, kJ/mol of atoms: 35.35
Calculated density, kg/m³: 3702
Magnetization, μB per cell: 13.85
Density of states at the Fermi level, states/eV per atom: 0.640

The structure in Quantum ESPRESSO input format:
```
&SYSTEM
  ibrav = 0, nat = 16, ntyp = 3
/
ATOMIC_SPECIES
Al 26.98 Al.upf
Cr 52.00 Cr.upf
C 12.01 C.upf
CELL_PARAMETERS angstrom
6.8488 0.0000 0.0000
0.0000 6.8488 0.0000
0.0000 0.0000 4.5129
ATOMIC_POSITIONS crystal
Al 0.1475 0.2500 0.1250
Al 0.2500 0.6475 0.3750
Al 0.2500 0.8525 0.8750
Al 0.3525 0.2500 0.6250
Al 0.6475 0.7500 0.6250
Al 0.7500 0.1475 0.8750
Al 0.7500 0.3525 0.3750
Al 0.8525 0.7500 0.1250
Cr 0.0000 0.0000 0.5000
Cr 0.0000 0.5000 0.7500
Cr 0.5000 0.0000 0.2500
Cr 0.5000 0.5000 0.0000
C 0.0000 0.0000 0.0000
C 0.0000 0.5000 0.2500
C 0.5000 0.0000 0.7500
C 0.5000 0.5000 0.5000
```